Compound: Rb2NaS
Source: Alexandria via LeMat-Bulk
Functional: PBE
Structure: relaxed

Output
Fermi-level density of states	6.511	states/eV/f.u.
energy relative to the elements, uncorrected	-0.50	eV/atom

a b c (Å): 12.615 12.615 12.615
angles (deg): 22.25 22.25 22.25
Sites, in units of the cell vectors:
Rb 0.125 0.125 0.125
Rb 0.875 0.875 0.875
Na 0.000 0.000 0.000
S 0.500 0.500 0.500

***

Compound: SrPb2W
Source: Alexandria via LeMat-Bulk
Functional: PBE
Structure: relaxed

Output
ΔH_f (0 K)	0.808	eV/atom
Fermi-level density of states	3.513	states/eV/f.u.

a b c (Å): 5.803 5.803 3.241
angles (deg): 90.00 90.00 109.68
Sites, in units of the cell vectors:
Sr 0.000 0.000 0.000
Pb 0.000 0.500 0.500
Pb 0.500 0.000 0.500
W 0.500 0.500 0.000

***

Compound: MgAl2Co
Source: Alexandria via LeMat-Bulk
Functional: PBE
Structure: relaxed

Output
ΔH_f (0 K)	-0.075	eV/atom
Fermi-level density of states	2.311	states/eV/f.u.

a b c (Å): 8.675 8.675 8.675
angles (deg): 19.38 19.38 19.38
Sites, in units of the cell vectors:
Mg 0.000 0.000 0.000
Al 0.236 0.236 0.236
Al 0.764 0.764 0.764
Co 0.500 0.500 0.500

***

Compound: Ta5Ti4In2
Source: Alexandria via LeMat-Bulk
Functional: PBE
Structure: relaxed

Output
ΔH_f (0 K)	0.027	eV/atom
Fermi-level density of states	13.410	states/eV/f.u.

a b c (Å): 5.477 5.477 11.644
angles (deg): 105.02 105.02 36.84
Sites, in units of the cell vectors:
Ta 0.000 0.000 0.000
Ta 0.180 0.180 0.275
Ta 0.362 0.362 0.549
Ta 0.638 0.638 0.451
Ta 0.820 0.820 0.725
Ti 0.097 0.097 0.625
Ti 0.291 0.291 0.911
Ti 0.709 0.709 0.089
Ti 0.903 0.903 0.375
In 0.440 0.440 0.184
In 0.560 0.560 0.816

***

Compound: Co2NiMo
Source: Alexandria via LeMat-Bulk
Functional: PBE
Structure: relaxed

Output
ΔH_f (0 K)	-0.013	eV/atom
Fermi-level density of states	5.431	states/eV/f.u.

a b c (Å): 4.377 4.377 4.377
angles (deg): 130.83 130.83 72.09
Sites, in units of the cell vectors:
Co 0.250 0.750 0.500
Co 0.750 0.250 0.500
Ni 0.000 0.000 0.000
Mo 0.500 0.500 0.000

***

Compound: ThGa2Tc2Ge
Source: Alexandria via LeMat-Bulk
Functional: PBE
Structure: relaxed

Output
ΔH_f (0 K)	-0.107	eV/atom
Fermi-level density of states	1.740	states/eV/f.u.

a b c (Å): 4.591 4.591 5.688
angles (deg): 90.00 90.00 90.00
Sites, in units of the cell vectors:
Th 0.000 0.000 0.000
Ga 0.500 0.500 0.238
Ga 0.500 0.500 0.762
Tc 0.000 0.500 0.500
Tc 0.500 0.000 0.500
Ge 0.000 0.000 0.500